# 1
Below is a relaxed structure of HgBiI2O, with properties calculated at the GGA-PBE level.

Values from the calculation:
* magnetization: 0.03 μB per atom
* V: 152.4 Å³/cell
* formation energy from raw total energies: 5.09 kcal/mol of atoms
* crystal system: tetragonal
* calculated total energy: -2.228 eV per atom
* space-group type: P4/mmm

Structure (CIF):
```
data_HgBiI2O
_space_group_name_H-M_alt 'P 1'
_space_group_IT_number 1
_cell_length_a 6.1368
_cell_length_b 6.1368
_cell_length_c 4.0463
_cell_angle_alpha 90.00
_cell_angle_beta 90.00
_cell_angle_gamma 90.00
loop_
_space_group_symop_operation_xyz
'x,y,z'
loop_
_atom_site_label
_atom_site_type_symbol
_atom_site_fract_x
_atom_site_fract_y
_atom_site_fract_z
_atom_site_occupancy
Hg1 Hg 0.0000 0.0000 0.0000 1
Bi1 Bi 0.5000 0.5000 0.5000 1
I1 I 0.0000 0.5000 0.0000 1
I2 I 0.5000 0.0000 0.0000 1
O1 O 0.0000 0.0000 0.5000 1
```

---

# 2
Below is a relaxed structure of HgBiI2O, with properties calculated at the GGA-PBE level.

Values from the calculation:
* magnetization: 0.00 μB per atom
* V: 171.8 Å³/cell
* formation energy from raw total energies: -5.57 kcal/mol of atoms
* crystal system: tetragonal
* calculated total energy: -2.690 eV per atom
* space-group type: P4/mmm

Structure (CIF):
```
data_HgBiI2O
_space_group_name_H-M_alt 'P 1'
_space_group_IT_number 1
_cell_length_a 6.3186
_cell_length_b 6.3186
_cell_length_c 4.3026
_cell_angle_alpha 90.00
_cell_angle_beta 90.00
_cell_angle_gamma 90.00
loop_
_space_group_symop_operation_xyz
'x,y,z'
loop_
_atom_site_label
_atom_site_type_symbol
_atom_site_fract_x
_atom_site_fract_y
_atom_site_fract_z
_atom_site_occupancy
Hg1 Hg 0.0000 0.0000 0.0000 1
Bi1 Bi 0.5000 0.5000 0.5000 1
I1 I 0.0000 0.5000 0.5000 1
I2 I 0.5000 0.0000 0.5000 1
O1 O 0.5000 0.5000 0.0000 1
```

---

# 3
Below is a relaxed structure of HgBi2OsI, with properties calculated at the GGA-PBE level.

Values from the calculation:
* magnetization: 0.00 μB per atom
* V: 152.4 Å³/cell
* formation energy from raw total energies: 8.57 kcal/mol of atoms
* crystal system: tetragonal
* calculated total energy: -3.797 eV per atom
* space-group type: P4/mmm

Structure (CIF):
```
data_HgBi2OsI
_space_group_name_H-M_alt 'P 1'
_space_group_IT_number 1
_cell_length_a 5.2897
_cell_length_b 5.2897
_cell_length_c 5.4473
_cell_angle_alpha 90.00
_cell_angle_beta 90.00
_cell_angle_gamma 90.00
loop_
_space_group_symop_operation_xyz
'x,y,z'
loop_
_atom_site_label
_atom_site_type_symbol
_atom_site_fract_x
_atom_site_fract_y
_atom_site_fract_z
_atom_site_occupancy
Hg1 Hg 0.0000 0.0000 0.0000 1
Bi1 Bi 0.0000 0.5000 0.5000 1
Bi2 Bi 0.5000 0.0000 0.5000 1
Os1 Os 0.0000 0.0000 0.5000 1
I1 I 0.5000 0.5000 0.0000 1
```

---

# 4
Below is a relaxed structure of HgBiPbI6, with properties calculated at the GGA-PBE level.

Values from the calculation:
* magnetization: 0.00 μB per atom
* V: 402.6 Å³/cell
* formation energy from raw total energies: -9.11 kcal/mol of atoms
* crystal system: monoclinic
* calculated total energy: -2.305 eV per atom
* space-group type: C2

Structure (CIF):
```
data_HgBiPbI6
_space_group_name_H-M_alt 'P 1'
_space_group_IT_number 1
_cell_length_a 7.9103
_cell_length_b 7.9103
_cell_length_c 7.4308
_cell_angle_alpha 90.03
_cell_angle_beta 90.03
_cell_angle_gamma 120.02
loop_
_space_group_symop_operation_xyz
'x,y,z'
loop_
_atom_site_label
_atom_site_type_symbol
_atom_site_fract_x
_atom_site_fract_y
_atom_site_fract_z
_atom_site_occupancy
Hg1 Hg 0.0000 0.0000 0.0000 1
Bi1 Bi 0.6668 0.3332 0.5000 1
Pb1 Pb 0.3334 0.6666 0.5000 1
I1 I 0.3489 0.0134 0.7476 1
I2 I 0.3486 0.3350 0.2520 1
I3 I 0.6645 0.0132 0.2521 1
I4 I 0.6650 0.6514 0.7480 1
I5 I 0.9868 0.3355 0.7479 1
I6 I 0.9866 0.6511 0.2524 1
```

---

# 5
Below is a relaxed structure of Hg2BiPtI, with properties calculated at the GGA-PBE level.

Values from the calculation:
* magnetization: 0.00 μB per atom
* V: 154.5 Å³/cell
* formation energy from raw total energies: -1.59 kcal/mol of atoms
* crystal system: tetragonal
* calculated total energy: -2.484 eV per atom
* space-group type: P4/mmm

Structure (CIF):
```
data_Hg2BiPtI
_space_group_name_H-M_alt 'P 1'
_space_group_IT_number 1
_cell_length_a 5.3905
_cell_length_b 5.3905
_cell_length_c 5.3176
_cell_angle_alpha 90.00
_cell_angle_beta 90.00
_cell_angle_gamma 90.00
loop_
_space_group_symop_operation_xyz
'x,y,z'
loop_
_atom_site_label
_atom_site_type_symbol
_atom_site_fract_x
_atom_site_fract_y
_atom_site_fract_z
_atom_site_occupancy
Hg1 Hg 0.0000 0.5000 0.0000 1
Hg2 Hg 0.5000 0.0000 0.0000 1
Bi1 Bi 0.0000 0.0000 0.5000 1
Pt1 Pt 0.0000 0.0000 0.0000 1
I1 I 0.5000 0.5000 0.5000 1
```

---

# 6
Below is a relaxed structure of RbHgBiI6, with properties calculated at the GGA-PBE level.

Values from the calculation:
* magnetization: 0.00 μB per atom
* V: 450.4 Å³/cell
* formation energy from raw total energies: -13.80 kcal/mol of atoms
* crystal system: trigonal
* calculated total energy: -2.204 eV per atom
* space-group type: P312

Structure (CIF):
```
data_RbHgBiI6
_space_group_name_H-M_alt 'P 1'
_space_group_IT_number 1
_cell_length_a 7.9720
_cell_length_b 7.9720
_cell_length_c 8.1831
_cell_angle_alpha 90.00
_cell_angle_beta 90.00
_cell_angle_gamma 120.00
loop_
_space_group_symop_operation_xyz
'x,y,z'
loop_
_atom_site_label
_atom_site_type_symbol
_atom_site_fract_x
_atom_site_fract_y
_atom_site_fract_z
_atom_site_occupancy
Rb1 Rb 0.0000 0.0000 0.0000 1
Hg1 Hg 0.3333 0.6667 0.5000 1
Bi1 Bi 0.6667 0.3333 0.5000 1
I1 I 0.0047 0.3755 0.2796 1
I2 I 0.0047 0.6292 0.7204 1
I3 I 0.3708 0.3755 0.7204 1
I4 I 0.3708 0.9953 0.2796 1
I5 I 0.6245 0.6292 0.2796 1
I6 I 0.6245 0.9953 0.7204 1
```

---

# 7
Below is a relaxed structure of HgBi2SbI, with properties calculated at the GGA-PBE level.

Values from the calculation:
* magnetization: 0.00 μB per atom
* V: 213.0 Å³/cell
* formation energy from raw total energies: 21.45 kcal/mol of atoms
* crystal system: tetragonal
* calculated total energy: -1.817 eV per atom
* space-group type: P4/mmm

Structure (CIF):
```
data_HgBi2SbI
_space_group_name_H-M_alt 'P 1'
_space_group_IT_number 1
_cell_length_a 6.0150
_cell_length_b 6.0150
_cell_length_c 5.8878
_cell_angle_alpha 90.00
_cell_angle_beta 90.00
_cell_angle_gamma 90.00
loop_
_space_group_symop_operation_xyz
'x,y,z'
loop_
_atom_site_label
_atom_site_type_symbol
_atom_site_fract_x
_atom_site_fract_y
_atom_site_fract_z
_atom_site_occupancy
Hg1 Hg 0.0000 0.0000 0.0000 1
Bi1 Bi 0.0000 0.5000 0.5000 1
Bi2 Bi 0.5000 0.0000 0.5000 1
Sb1 Sb 0.5000 0.5000 0.0000 1
I1 I 0.5000 0.5000 0.5000 1
```

---

# 8
Below is a relaxed structure of Hg2BiSbI2, with properties calculated at the GGA-PBE level.

Values from the calculation:
* magnetization: 0.00 μB per atom
* V: 471.5 Å³/cell
* formation energy from raw total energies: -2.22 kcal/mol of atoms
* crystal system: orthorhombic
* calculated total energy: -2.048 eV per atom
* space-group type: Cmc2_1

Structure (CIF):
```
data_Hg2BiSbI2
_space_group_name_H-M_alt 'P 1'
_space_group_IT_number 1
_cell_length_a 9.7082
_cell_length_b 9.7082
_cell_length_c 7.1158
_cell_angle_alpha 90.00
_cell_angle_beta 90.00
_cell_angle_gamma 44.68
loop_
_space_group_symop_operation_xyz
'x,y,z'
loop_
_atom_site_label
_atom_site_type_symbol
_atom_site_fract_x
_atom_site_fract_y
_atom_site_fract_z
_atom_site_occupancy
Hg1 Hg 0.0347 0.6415 0.5000 1
Hg2 Hg 0.3585 0.9653 0.5000 1
Hg3 Hg 0.6415 0.0347 0.0000 1
Hg4 Hg 0.9653 0.3585 0.0000 1
Bi1 Bi 0.2073 0.7927 0.9334 1
Bi2 Bi 0.7927 0.2073 0.4334 1
Sb1 Sb 0.1969 0.8031 0.5032 1
Sb2 Sb 0.8031 0.1969 0.0032 1
I1 I 0.1323 0.5303 0.0008 1
I2 I 0.4697 0.8677 0.0008 1
I3 I 0.5303 0.1323 0.5008 1
I4 I 0.8677 0.4697 0.5008 1
```

---

# 9
Below is a relaxed structure of HgBiSbI2, with properties calculated at the GGA-PBE level.

Values from the calculation:
* magnetization: 0.36 μB per atom
* V: 238.6 Å³/cell
* formation energy from raw total energies: 4.41 kcal/mol of atoms
* crystal system: tetragonal
* calculated total energy: -2.090 eV per atom
* space-group type: P4/mmm

Structure (CIF):
```
data_HgBiSbI2
_space_group_name_H-M_alt 'P 1'
_space_group_IT_number 1
_cell_length_a 6.2398
_cell_length_b 6.2398
_cell_length_c 6.1286
_cell_angle_alpha 90.00
_cell_angle_beta 90.00
_cell_angle_gamma 90.00
loop_
_space_group_symop_operation_xyz
'x,y,z'
loop_
_atom_site_label
_atom_site_type_symbol
_atom_site_fract_x
_atom_site_fract_y
_atom_site_fract_z
_atom_site_occupancy
Hg1 Hg 0.0000 0.0000 0.0000 1
Bi1 Bi 0.5000 0.5000 0.5000 1
Sb1 Sb 0.5000 0.5000 0.0000 1
I1 I 0.0000 0.5000 0.5000 1
I2 I 0.5000 0.0000 0.5000 1
```

---

# 10
Below is a relaxed structure of HgBiSb2I, with properties calculated at the GGA-PBE level.

Values from the calculation:
* magnetization: 0.00 μB per atom
* V: 178.5 Å³/cell
* formation energy from raw total energies: 15.32 kcal/mol of atoms
* crystal system: tetragonal
* calculated total energy: -2.131 eV per atom
* space-group type: P4/mmm

Structure (CIF):
```
data_HgBiSb2I
_space_group_name_H-M_alt 'P 1'
_space_group_IT_number 1
_cell_length_a 5.6112
_cell_length_b 5.6112
_cell_length_c 5.6687
_cell_angle_alpha 90.00
_cell_angle_beta 90.00
_cell_angle_gamma 90.00
loop_
_space_group_symop_operation_xyz
'x,y,z'
loop_
_atom_site_label
_atom_site_type_symbol
_atom_site_fract_x
_atom_site_fract_y
_atom_site_fract_z
_atom_site_occupancy
Hg1 Hg 0.0000 0.0000 0.0000 1
Bi1 Bi 0.5000 0.5000 0.5000 1
Sb1 Sb 0.0000 0.5000 0.0000 1
Sb2 Sb 0.5000 0.0000 0.0000 1
I1 I 0.0000 0.0000 0.5000 1
```

---

# 11
Below is a relaxed structure of HgBiSbI2, with properties calculated at the GGA-PBE level.

Values from the calculation:
* magnetization: 0.00 μB per atom
* V: 189.4 Å³/cell
* formation energy from raw total energies: 11.73 kcal/mol of atoms
* crystal system: tetragonal
* calculated total energy: -1.772 eV per atom
* space-group type: P4/mmm

Structure (CIF):
```
data_HgBiSbI2
_space_group_name_H-M_alt 'P 1'
_space_group_IT_number 1
_cell_length_a 5.7277
_cell_length_b 5.7277
_cell_length_c 5.7746
_cell_angle_alpha 90.00
_cell_angle_beta 90.00
_cell_angle_gamma 90.00
loop_
_space_group_symop_operation_xyz
'x,y,z'
loop_
_atom_site_label
_atom_site_type_symbol
_atom_site_fract_x
_atom_site_fract_y
_atom_site_fract_z
_atom_site_occupancy
Hg1 Hg 0.0000 0.0000 0.0000 1
Bi1 Bi 0.5000 0.5000 0.5000 1
Sb1 Sb 0.0000 0.0000 0.5000 1
I1 I 0.0000 0.5000 0.0000 1
I2 I 0.5000 0.0000 0.0000 1
```

---

# 12
Below is a relaxed structure of HgBiSb2I, with properties calculated at the GGA-PBE level.

Values from the calculation:
* magnetization: 0.39 μB per atom
* V: 226.2 Å³/cell
* formation energy from raw total energies: 13.28 kcal/mol of atoms
* crystal system: tetragonal
* calculated total energy: -2.220 eV per atom
* space-group type: P4/mmm

Structure (CIF):
```
data_HgBiSb2I
_space_group_name_H-M_alt 'P 1'
_space_group_IT_number 1
_cell_length_a 5.9765
_cell_length_b 5.9765
_cell_length_c 6.3320
_cell_angle_alpha 90.00
_cell_angle_beta 90.00
_cell_angle_gamma 90.00
loop_
_space_group_symop_operation_xyz
'x,y,z'
loop_
_atom_site_label
_atom_site_type_symbol
_atom_site_fract_x
_atom_site_fract_y
_atom_site_fract_z
_atom_site_occupancy
Hg1 Hg 0.0000 0.0000 0.0000 1
Bi1 Bi 0.5000 0.5000 0.5000 1
Sb1 Sb 0.0000 0.5000 0.5000 1
Sb2 Sb 0.5000 0.0000 0.5000 1
I1 I 0.5000 0.5000 0.0000 1
```